Entry 1:
An optimized crystal structure of NaTa3N, computed with PBE. Values from VASP.

The structure in Quantum ESPRESSO input format:
```
&SYSTEM
  ibrav = 0, nat = 5, ntyp = 3
/
ATOMIC_SPECIES
Na 22.99 Na.upf
Ta 180.95 Ta.upf
N 14.01 N.upf
CELL_PARAMETERS angstrom
4.321 0.000 0.000
0.000 4.321 0.000
0.000 0.000 4.321
ATOMIC_POSITIONS crystal
Na 0.000 0.000 0.000
Ta 0.000 0.500 0.500
Ta 0.500 0.000 0.500
Ta 0.500 0.500 0.000
N 0.500 0.500 0.500
```

Output
The density of states at the Fermi level comes out at 5.47 states/eV/cell. As for the total energy: -8.872 eV per atom. The calculation puts the uncorrected formation energy at 168.1 meV/atom. As for the space group: No. 221. The calculation puts the magnetization at 0.00 μB/atom. The energy above the most stable polymorph in this dataset comes out at 0 meV per atom.

***

Entry 2:
An optimized crystal structure of NaTa2N, computed with PBE. Values from VASP.

The structure in Quantum ESPRESSO input format:
```
&SYSTEM
  ibrav = 0, nat = 8, ntyp = 3
/
ATOMIC_SPECIES
Na 22.99 Na.upf
Ta 180.95 Ta.upf
N 14.01 N.upf
CELL_PARAMETERS angstrom
-3.212 3.212 4.365
3.212 -3.212 4.365
3.212 3.212 -4.365
ATOMIC_POSITIONS crystal
Na 0.000 0.000 0.000
Na 0.750 0.250 0.500
Ta 0.321 0.625 0.196
Ta 0.375 0.571 0.696
Ta 0.429 0.125 0.804
Ta 0.875 0.679 0.304
N 0.250 0.750 0.500
N 0.500 0.500 0.000
```

Output
The density of states at the Fermi level comes out at 4.44 states/eV/cell. As for the total energy: -7.876 eV per atom. The calculation puts the uncorrected formation energy at 460.9 meV/atom. As for the space group: No. 122. The calculation puts the magnetization at 0.00 μB/atom.

***

Entry 3:
An optimized crystal structure of NaTaN, computed with PBE. Values from VASP.

The structure in Quantum ESPRESSO input format:
```
&SYSTEM
  ibrav = 0, nat = 6, ntyp = 3
/
ATOMIC_SPECIES
Na 22.99 Na.upf
Ta 180.95 Ta.upf
N 14.01 N.upf
CELL_PARAMETERS angstrom
2.713 -1.569 0.000
2.713 1.569 0.000
-1.895 0.000 11.576
ATOMIC_POSITIONS crystal
Na 0.000 0.000 0.000
Na 0.248 0.248 0.716
Ta 0.159 0.159 0.460
Ta 0.754 0.754 0.249
N 0.455 0.455 0.352
N 0.860 0.860 0.557
```

Output
The density of states at the Fermi level comes out at 2.67 states/eV/cell. As for the total energy: -7.621 eV per atom. The calculation puts the uncorrected formation energy at -455.7 meV/atom. As for the space group: No. 8. The calculation puts the magnetization at 0.00 μB/atom. The energy above the most stable polymorph in this dataset comes out at 33 meV per atom.

***

Entry 4:
An optimized crystal structure of NaTaN, computed with PBE. Values from VASP.

The structure in Quantum ESPRESSO input format:
```
&SYSTEM
  ibrav = 0, nat = 6, ntyp = 3
/
ATOMIC_SPECIES
Na 22.99 Na.upf
Ta 180.95 Ta.upf
N 14.01 N.upf
CELL_PARAMETERS angstrom
5.536 0.000 0.000
0.000 3.000 0.000
0.000 0.000 6.122
ATOMIC_POSITIONS crystal
Na 0.250 0.000 0.111
Na 0.750 0.000 0.889
Ta 0.250 0.500 0.585
Ta 0.750 0.500 0.415
N 0.000 0.000 0.500
N 0.500 0.000 0.500
```

Output
The density of states at the Fermi level comes out at 1.18 states/eV/cell. As for the total energy: -7.560 eV per atom. The calculation puts the uncorrected formation energy at -394.7 meV/atom. As for the space group: No. 51. The calculation puts the magnetization at 0.00 μB/atom. The energy above the most stable polymorph in this dataset comes out at 94 meV per atom.

***

Entry 5:
An optimized crystal structure of NaTaN3, computed with PBE. Values from VASP.

The structure in Quantum ESPRESSO input format:
```
&SYSTEM
  ibrav = 0, nat = 5, ntyp = 3
/
ATOMIC_SPECIES
Na 22.99 Na.upf
Ta 180.95 Ta.upf
N 14.01 N.upf
CELL_PARAMETERS angstrom
4.089 0.000 0.000
0.000 4.089 0.000
0.000 0.000 4.089
ATOMIC_POSITIONS crystal
Na 0.000 0.000 0.000
Ta 0.500 0.500 0.500
N 0.000 0.500 0.500
N 0.500 0.000 0.500
N 0.500 0.500 0.000
```

Output
The density of states at the Fermi level comes out at 2.63 states/eV/cell. As for the total energy: -7.519 eV per atom. The calculation puts the uncorrected formation energy at 110.1 meV/atom. As for the space group: No. 221. The calculation puts the magnetization at 0.48 μB/atom.

***

Entry 6:
An optimized crystal structure of Na2TaN, computed with PBE. Values from VASP.

The structure in Quantum ESPRESSO input format:
```
&SYSTEM
  ibrav = 0, nat = 8, ntyp = 3
/
ATOMIC_SPECIES
Na 22.99 Na.upf
Ta 180.95 Ta.upf
N 14.01 N.upf
CELL_PARAMETERS angstrom
-5.003 5.003 1.999
5.003 -5.003 1.999
5.003 5.003 -1.999
ATOMIC_POSITIONS crystal
Na 0.375 0.222 0.347
Na 0.778 0.125 0.153
Na 0.875 0.028 0.653
Na 0.972 0.625 0.847
Ta 0.250 0.750 0.500
Ta 0.500 0.500 0.000
N 0.000 0.000 0.000
N 0.750 0.250 0.500
```

Output
The density of states at the Fermi level comes out at 4.51 states/eV/cell. As for the total energy: -5.310 eV per atom. The calculation puts the uncorrected formation energy at 394.3 meV/atom. As for the space group: No. 122. The calculation puts the magnetization at 0.40 μB/atom.